La2Er3Tm3 | PBE | relaxed

Summary:
ΔH_f (0 K) in eV/atom: 0.1276
Excess energy over the best structure of this formula in the dataset in meV per atom: 89.1
SG: Cmcm, No. 63
E in eV per atom: -4.492
DOS at the Fermi energy in states/eV per cell: 20.2

Lattice parameters (Å, degrees): 8.973 8.973 16.600 90.00 90.00 157.07
Fractional coordinates of all 16 atoms:
La (0.223, 0.777, 0.651)
La (0.223, 0.777, 0.849)
La (0.777, 0.223, 0.151)
La (0.777, 0.223, 0.349)
Er (0.360, 0.640, 0.513)
Er (0.360, 0.640, 0.987)
Er (0.395, 0.605, 0.750)
Er (0.605, 0.395, 0.250)
Er (0.640, 0.360, 0.013)
Er (0.640, 0.360, 0.487)
Tm (0.005, 0.995, 0.600)
Tm (0.005, 0.995, 0.900)
Tm (0.421, 0.579, 0.250)
Tm (0.579, 0.421, 0.750)
Tm (0.995, 0.005, 0.100)
Tm (0.995, 0.005, 0.400)